Material: Fe3P2O10
Method: DFT, GGA+U
State: relaxed

Geometry as POSCAR:
```
Fe3P2O10
1.0
-2.7776 -5.5513 -3.8216
0.2059 -2.2081 -6.9439
3.5782 -3.6549 -0.4943
Fe P O
3 2 10
Cartesian
1.8921 -2.9315 -3.7191
0.4003 -4.6031 -2.1580
0.5033 -5.7072 -5.6299
0.1860 -1.3715 -1.2908
0.8206 -10.0428 -9.9690
-1.4520 -7.1609 -9.0548
-1.4395 -5.9395 -5.2199
0.1315 -4.1790 -6.8640
0.5961 -8.8667 -8.9241
2.4585 -4.2534 -2.2051
2.4460 -5.4749 -6.0400
0.8750 -7.2353 -4.3958
0.4104 -2.5476 -2.3357
0.7053 -4.4294 -4.0687
0.3012 -6.9850 -7.1911
```

Computed properties:
**Relative energy among the computed polymorphs**: 0.537 eV/f.u.
**Mass density**: 3643 kg/m3